{
  "formula": "AlP3",
  "functional": "PBE",
  "state": "optimized geometry",
  "dos_ef_per_ev_atom": 0.151,
  "lattice": [[7.8763, 0.0000, 0.0000], [-3.9382, 6.8211, 0.0000], [0.0000, 0.0000, 4.0501]],
  "species": ["Al", "Al", "P", "P", "P", "P", "P", "P"],
  "frac_coords": [[0.3333, 0.6667, 0.2500], [0.6667, 0.3333, 0.7500], [0.2350, 0.4700, 0.7500], [0.2350, 0.7650, 0.7500], [0.4700, 0.2350, 0.2500], [0.5300, 0.7650, 0.7500], [0.7650, 0.2350, 0.2500], [0.7650, 0.5300, 0.2500]]
}


{
  "formula": "AlP",
  "functional": "PBE",
  "state": "optimized geometry",
  "dos_ef_per_ev_atom": 0.000,
  "lattice": [[7.4926, 0.0000, 0.0000], [0.0000, 7.4926, 0.0000], [0.0000, 0.0000, 7.4926]],
  "species": ["Al", "Al", "Al", "Al", "Al", "Al", "Al", "Al", "P", "P", "P", "P", "P", "P", "P", "P"],
  "frac_coords": [[0.1524, 0.1524, 0.1524], [0.1524, 0.8476, 0.8476], [0.3476, 0.3476, 0.6524], [0.3476, 0.6524, 0.3476], [0.6524, 0.3476, 0.3476], [0.6524, 0.6524, 0.6524], [0.8476, 0.1524, 0.8476], [0.8476, 0.8476, 0.1524], [0.1678, 0.1678, 0.8322], [0.1678, 0.8322, 0.1678], [0.3322, 0.3322, 0.3322], [0.3322, 0.6678, 0.6678], [0.6678, 0.3322, 0.6678], [0.6678, 0.6678, 0.3322], [0.8322, 0.1678, 0.1678], [0.8322, 0.8322, 0.8322]]
}


{
  "formula": "Al3P",
  "functional": "PBE",
  "state": "optimized geometry",
  "dos_ef_per_ev_atom": 0.272,
  "relative_energy_ev_per_atom": 0.0755,
  "lattice": [[3.3385, 0.0000, 0.0000], [0.0000, 9.3241, 0.0000], [0.0000, 0.0000, 4.3261]],
  "species": ["Al", "Al", "Al", "Al", "Al", "Al", "P", "P"],
  "frac_coords": [[0.0000, 0.0000, 0.0000], [0.0000, 0.2075, 0.5456], [0.0000, 0.7925, 0.5456], [0.5000, 0.2925, 0.0456], [0.5000, 0.5000, 0.5000], [0.5000, 0.7075, 0.0456], [0.0000, 0.5000, 0.9129], [0.5000, 0.0000, 0.4129]]
}


{
  "formula": "Al2P",
  "functional": "PBE",
  "state": "optimized geometry",
  "dos_ef_per_ev_atom": 0.355,
  "lattice": [[6.2375, 0.0000, 0.0000], [0.0000, 6.2375, 0.0000], [0.0000, 0.0000, 4.9921]],
  "species": ["Al", "Al", "Al", "Al", "Al", "Al", "Al", "Al", "P", "P", "P", "P"],
  "frac_coords": [[0.1519, 0.3481, 0.0000], [0.1519, 0.6519, 0.5000], [0.3481, 0.1519, 0.5000], [0.3481, 0.8481, 0.0000], [0.6519, 0.1519, 0.0000], [0.6519, 0.8481, 0.5000], [0.8481, 0.3481, 0.5000], [0.8481, 0.6519, 0.0000], [0.0000, 0.0000, 0.2500], [0.0000, 0.0000, 0.7500], [0.5000, 0.5000, 0.2500], [0.5000, 0.5000, 0.7500]]
}


Calculated formation energy for every record listed, in sequence, given in meV/atom: 281, -391, 16, 135.